{"formula": "ZrScOs", "functional": "PBE", "state": "relaxed", "cell": [[5.847, 0.926, -0.324], [3.423, 4.829, 0.325], [-4.464, -3.153, 2.296]], "species": ["Zr", "Os", "Sc"], "frac_coords": [[0.644, 0.644, 0.000], [0.002, 0.002, 0.000], [0.354, 0.354, 0.000]], "e_tot_ry_per_atom": -0.66178, "n_ef_per_ev_cell": 2.1, "formation_enthalpy_0k_ev_per_atom": -0.30}

{"formula": "MgCd2Ni", "functional": "PBE", "state": "relaxed", "cell": [[-1.090, -0.546, -3.216], [3.083, -0.258, -1.001], [2.957, -6.609, 0.120]], "species": ["Ni", "Cd", "Cd", "Mg"], "frac_coords": [[0.500, 0.750, 0.750], [0.000, 0.029, 0.972], [0.000, 0.471, 0.528], [0.500, 0.250, 0.250]], "e_tot_ry_per_atom": -0.16951, "n_ef_per_ev_cell": 2.2, "formation_enthalpy_0k_ev_per_atom": 0.00}

{"formula": "KBa2HgRh", "functional": "PBE", "state": "relaxed", "cell": [[6.015, 0.000, 0.000], [0.000, 6.015, 0.000], [0.000, 0.000, 5.607]], "species": ["Ba", "Ba", "Hg", "K", "Rh"], "frac_coords": [[0.000, 0.500, 0.000], [0.500, 0.000, 0.000], [0.000, 0.000, 0.500], [0.500, 0.500, 0.500], [0.000, 0.000, 0.000]], "e_tot_ry_per_atom": -0.19532, "n_ef_per_ev_cell": 3.8, "formation_enthalpy_0k_ev_per_atom": -0.14}

{"formula": "Ac6Tl2Ru", "functional": "PBE", "state": "relaxed", "cell": [[-6.579, -3.263, 2.599], [-1.091, -3.478, -7.128], [5.662, -9.111, 3.578]], "species": ["Ac", "Ac", "Ac", "Ac", "Ac", "Ac", "Ac", "Ac", "Ac", "Ac", "Ac", "Ac", "Ru", "Ru", "Tl", "Tl", "Tl", "Tl"], "frac_coords": [[0.806, 0.696, 0.459], [0.302, 0.803, 0.542], [0.698, 0.197, 0.458], [0.092, 0.012, 0.252], [0.408, 0.512, 0.248], [0.694, 0.196, 0.041], [0.198, 0.303, 0.958], [0.802, 0.697, 0.042], [0.194, 0.304, 0.541], [0.306, 0.804, 0.959], [0.592, 0.488, 0.752], [0.908, 0.988, 0.748], [0.500, 0.500, 0.000], [0.000, 0.000, 0.500], [0.025, 0.567, 0.755], [0.975, 0.433, 0.245], [0.525, 0.933, 0.255], [0.475, 0.067, 0.745]], "e_tot_ry_per_atom": -0.33251, "n_ef_per_ev_cell": 15.3, "formation_enthalpy_0k_ev_per_atom": -0.23}

{"formula": "CoH2Cl6", "functional": "PBE", "state": "relaxed", "cell": [[-1.733, 1.656, -4.975], [-3.897, -8.700, -4.505], [-8.705, 5.624, 1.938]], "species": ["Cl", "Cl", "Cl", "Cl", "Cl", "Cl", "Cl", "Cl", "Cl", "Cl", "Cl", "Cl", "H", "H", "H", "H", "Co", "Co"], "frac_coords": [[0.190, 0.422, 0.284], [0.310, 0.716, 0.578], [0.138, 0.147, 0.643], [0.362, 0.357, 0.853], [0.638, 0.643, 0.147], [0.573, 0.002, 0.799], [0.427, 0.998, 0.201], [0.810, 0.578, 0.716], [0.073, 0.799, 0.002], [0.927, 0.201, 0.998], [0.862, 0.853, 0.357], [0.690, 0.284, 0.422], [0.993, 0.630, 0.666], [0.007, 0.370, 0.334], [0.493, 0.666, 0.630], [0.507, 0.334, 0.370], [0.250, 0.177, 0.823], [0.750, 0.823, 0.177]], "e_tot_ry_per_atom": -0.23561}

{"formula": "BaLa2Fe", "functional": "PBE", "state": "relaxed", "cell": [[3.997, 0.000, 0.000], [0.000, 3.997, 0.000], [0.000, 0.000, 9.413]], "species": ["La", "La", "Fe", "Ba"], "frac_coords": [[0.000, 0.000, 0.904], [0.500, 0.500, 0.164], [0.500, 0.500, 0.929], [0.000, 0.000, 0.503]], "e_tot_ry_per_atom": -0.35158, "n_ef_per_ev_cell": 4.2, "formation_enthalpy_0k_ev_per_atom": 0.28}